K2YCl after structural relaxation. Source: Alexandria via LeMat-Bulk, functional PBE.

Calculated values
The value obtained for the uncorrected formation energy is -2.056 eV per formula unit.

Cell lengths 3.9251, 3.9251, 12.1940 Å; angles 90.00, 90.00, 121.06 degrees
Atoms (fractional coordinates):
K (0.0000, 0.0000, 0.0000)
K (0.5000, 0.5000, 0.3333)
Y (0.0000, 0.0000, 0.6215)
Cl (0.5000, 0.5000, 0.7948)

***

K2YCl after structural relaxation. Source: Alexandria via LeMat-Bulk, functional PBE.

Calculated values
The value obtained for the uncorrected formation energy is -1.725 eV per formula unit.

Cell lengths 3.6069, 3.6069, 11.5862 Å; angles 90.00, 90.00, 90.00 degrees
Atoms (fractional coordinates):
K (0.0000, 0.0000, 0.0000)
K (0.5000, 0.5000, 0.3512)
Y (0.0000, 0.0000, 0.6391)
Cl (0.5000, 0.5000, 0.8104)

***

K2YCl after structural relaxation. Source: Alexandria via LeMat-Bulk, functional PBE.

Calculated values
The value obtained for the uncorrected formation energy is -0.795 eV per formula unit.

Cell lengths 7.1234, 7.1234, 3.9265 Å; angles 90.07, 90.07, 127.61 degrees
Atoms (fractional coordinates):
K (0.0000, 0.5000, 0.0000)
K (0.5000, 0.0000, 0.0000)
Y (0.0000, 0.0000, 0.5000)
Cl (0.5000, 0.5000, 0.5000)

***

Question: Number 2 is which compound?
Answer: K2YCl